1.
First-principles (GGA-PBEsol) data for Li4Fe3CuO8 after structural relaxation, as listed in Alexandria via LeMat-Bulk.

Geometry as POSCAR:
```
Li4Fe3CuO8
1.0
5.6709 0.0000 0.0000
2.8354 4.9111 0.0000
2.8354 1.6370 4.6700
Li Fe Cu O
4 3 1 8
Direct
0.0000 0.5000 0.5000
0.0000 0.0000 0.5000
0.5000 0.5000 0.5000
0.5000 0.0000 0.5000
0.5000 0.5000 0.0000
0.5000 0.0000 0.0000
0.0000 0.5000 0.0000
0.0000 0.0000 0.0000
0.7408 0.7408 0.7776
0.2762 0.7498 0.2242
0.2502 0.7238 0.7758
0.2502 0.2502 0.7758
0.7498 0.7498 0.2242
0.7498 0.2762 0.2242
0.7238 0.2502 0.7758
0.2592 0.2592 0.2224
```

ΔE_f (raw)   -1492 meV/atom



2.
First-principles (GGA-PBEsol) data for Tl2BN after structural relaxation, as listed in Alexandria via LeMat-Bulk.

Geometry as POSCAR:
```
Tl2BN
1.0
-1.8344 -2.0856 -3.5794
2.6374 -2.2943 -2.8822
-0.1903 -4.5247 -0.1334
Tl B N
2 1 1
Direct
0.2500 0.2500 0.2500
0.7500 0.7500 0.7500
0.0000 0.0000 0.0000
0.5000 0.5000 0.5000
```

ΔE_f (raw)   1720 meV/atom



3.
First-principles (GGA-PBEsol) data for Tb3Ga9Pt2 after structural relaxation, as listed in Alexandria via LeMat-Bulk.

Geometry as POSCAR:
```
Tb3Ga9Pt2
1.0
4.1572 0.0000 0.0000
2.0786 7.8373 -0.2265
2.0786 1.8273 7.6247
Tb Ga Pt
3 9 2
Direct
0.0000 0.0000 0.0000
0.6775 0.3225 0.3225
0.3225 0.6775 0.6775
0.0000 0.5000 0.5000
0.6684 0.9568 0.7065
0.3316 0.0432 0.2935
0.6684 0.7065 0.9568
0.3316 0.2935 0.0432
0.8699 0.8509 0.4094
0.1301 0.1491 0.5906
0.8699 0.4094 0.8509
0.1301 0.5906 0.1491
0.5000 0.2742 0.7258
0.5000 0.7258 0.2742
```

Energy relative to the elements   -0.7467 eV per atom